Ga2NiO4 (PBE+U, optimized geometry); electronic total energy = -5.740 eV per atom
1.0
-5.1524 2.4565 -1.3260
-3.2991 -2.2751 -4.3440
-5.0204 -2.8075 1.3579
O Ni Ga
8 2 4
direct
0.2653 0.2491 0.7491
0.7365 0.2491 0.7491
0.2625 0.2295 0.2455
0.7375 0.7705 0.7545
0.7347 0.7509 0.2509
0.2635 0.7509 0.2509
0.7375 0.2545 0.2705
0.2625 0.7455 0.7295
0.5000 0.0000 0.5000
0.0000 0.0000 0.5000
0.8665 0.3835 0.8835
0.1335 0.6165 0.1165
0.5000 0.5000 0.5000
0.5000 0.0000 0.0000